Entry 1:
6
Lattice="2.028 -0.317 5.309 -3.107 -2.448 4.092 1.579 -5.029 2.148" Properties=species:S:1:pos:R:3 comment="ZnSe5 | Alexandria via LeMat-Bulk | PBE | optimized geometry" e_tot_ev_per_atom=-2.45 magmom_total_mub_per_fu=0.76 pbc="T T T"
Se 0.313 -4.876 7.226
Se 1.875 -3.645 5.169
Se 0.125 -1.948 2.887
Zn 0.000 0.000 0.000
Se -0.707 -4.717 4.557
Se -0.481 -2.348 6.146


Entry 2:
6
Lattice="0.938 -2.187 -3.426 3.435 0.107 -3.753 5.152 -7.585 4.495" Properties=species:S:1:pos:R:3 comment="LiBiF | Alexandria via LeMat-Bulk | PBE | optimized geometry" e_tot_ev_per_atom=-4.29 magmom_total_mub_per_fu=0.00 pbc="T T T"
Bi 4.339 -4.744 -2.788
Li 3.406 -1.056 -3.286
F 7.512 -7.696 -0.112
Li 6.119 -8.608 0.602
F 2.012 -1.968 -2.572
Bi 5.185 -4.920 0.104


Entry 3:
4
Lattice="7.504 0.010 -0.033 6.289 4.094 -0.033 1.123 0.334 7.533" Properties=species:S:1:pos:R:3 comment="KSr3 | Alexandria via LeMat-Bulk | PBE | optimized geometry" e_form_ev_per_fu=0.310 e_tot_ev_per_atom=-1.46 magmom_total_mub_per_fu=0.00 pbc="T T T"
Sr 7.458 2.219 3.733
K 0.000 0.000 0.000
Sr 11.206 3.334 5.537
Sr 3.710 1.104 1.930


Entry 4:
12
Lattice="6.001 0.000 3.051 3.000 7.491 1.525 -0.394 0.000 8.203" Properties=species:S:1:pos:R:3 comment="Sn5Se5Cl2 | Alexandria via LeMat-Bulk | PBE | optimized geometry" e_tot_ev_per_atom=-3.92 magmom_total_mub_per_fu=0.00 pbc="T T T"
Se 1.941 2.601 0.987
Sn 3.758 5.473 8.050
Cl 5.678 3.746 7.088
Sn 2.323 5.473 3.445
Se 4.942 4.890 2.512
Se 0.762 0.000 3.305
Se 2.725 0.000 6.871
Se 4.621 0.000 10.753
Sn 0.757 2.018 6.525
Cl 2.677 3.746 5.563
Sn 5.323 2.018 4.970
Sn 5.684 7.491 2.889


Entry 5:
6
Lattice="0.000 4.093 4.093 4.093 0.000 4.093 4.093 4.093 0.000" Properties=species:S:1:pos:R:3 comment="Sc4SiBr | Alexandria via LeMat-Bulk | PBE | optimized geometry" e_tot_ev_per_atom=-5.16 magmom_total_mub_per_fu=0.00 pbc="T T T"
Sc 3.087 3.087 3.087
Sc 5.099 5.099 3.087
Br 0.000 0.000 0.000
Si 6.139 6.139 6.139
Sc 3.087 5.099 5.099
Sc 5.099 3.087 5.099


Entry 6:
4
Lattice="-3.157 -0.108 0.531 -0.115 -2.947 -1.281 1.070 -4.989 5.350" Properties=species:S:1:pos:R:3 comment="Li2PBr | Alexandria via LeMat-Bulk | PBE | optimized geometry" e_tot_ev_per_atom=-3.28 magmom_total_mub_per_fu=0.00 pbc="T T T"
Li 0.950 -7.905 4.043
Br -0.862 -6.006 3.317
P -1.340 -2.038 1.283
Li 0.483 -4.000 2.060


Copy entry 1 word for word.
6
Lattice="2.028 -0.317 5.309 -3.107 -2.448 4.092 1.579 -5.029 2.148" Properties=species:S:1:pos:R:3 comment="ZnSe5 | Alexandria via LeMat-Bulk | PBE | optimized geometry" e_tot_ev_per_atom=-2.45 magmom_total_mub_per_fu=0.76 pbc="T T T"
Se 0.313 -4.876 7.226
Se 1.875 -3.645 5.169
Se 0.125 -1.948 2.887
Zn 0.000 0.000 0.000
Se -0.707 -4.717 4.557
Se -0.481 -2.348 6.146